VASP calculation (PBE) on a relaxed Pr4AgHg2 crystal.

Cell and atoms, written as POSCAR:
```
Pr4AgHg2
1.0
6.199 -0.008 -2.187
-3.092 5.367 -2.200
-0.005 0.008 6.573
Hg Ag Pr
2 1 4
Direct
0.500 0.500 0.000 Hg
0.500 0.000 0.500 Hg
0.000 0.000 0.000 Ag
0.500 0.000 0.000 Pr
0.500 0.500 0.500 Pr
0.000 0.000 0.500 Pr
0.000 0.500 0.000 Pr
```

Calculated values
- calculated volume (A^3/atom) = 31.236
- final energy (eV for the cell shown) = -24.3

VASP calculation (PBE) on a relaxed Al2Ga5 crystal.

Cell and atoms, written as POSCAR:
```
Al2Ga5
1.0
-0.665 -1.862 3.821
5.394 -1.926 -2.422
4.721 7.870 4.658
Ga Al
10 4
Direct
0.895 0.000 0.250 Ga
0.105 0.000 0.750 Ga
0.256 0.280 0.469 Ga
0.838 0.428 0.325 Ga
0.591 0.428 0.825 Ga
0.744 0.720 0.531 Ga
0.162 0.572 0.675 Ga
0.409 0.572 0.175 Ga
0.024 0.280 0.969 Ga
0.976 0.720 0.031 Ga
0.539 0.860 0.887 Al
0.321 0.860 0.387 Al
0.461 0.140 0.113 Al
0.679 0.140 0.613 Al
```

Calculated values
- calculated volume (A^3/atom) = 18.453
- final energy (eV for the cell shown) = -44.6
- ΔE to the lowest computed polymorph (meV/atom) = 0

VASP calculation (PBE) on a relaxed Ce2SeF4 crystal.

Cell and atoms, written as POSCAR:
```
Ce2SeF4
1.0
-2.527 -5.964 -4.833
0.688 -7.572 -2.738
-3.075 -7.410 -0.970
Se F Ce
1 4 2
Direct
0.000 0.000 0.000 Se
0.860 0.860 0.860 F
0.140 0.140 0.140 F
0.430 0.430 0.430 F
0.570 0.570 0.570 F
0.756 0.756 0.756 Ce
0.244 0.244 0.244 Ce
```

Calculated values
- formation energy (no corrections) (kcal/mol of atoms) = -80.17
- calculated volume (A^3/atom) = 16.530
- final energy (eV for the cell shown) = -47.2
- ΔE to the lowest computed polymorph (meV/atom) = 0

VASP calculation (PBE) on a relaxed CoReSe2 crystal.

Cell and atoms, written as POSCAR:
```
CoReSe2
1.0
-0.665 1.102 -2.879
-0.605 -2.974 0.858
-7.162 2.176 2.487
Re Se Co
1 2 1
Direct
0.500 0.500 0.750 Re
0.000 0.000 0.492 Se
0.000 0.000 0.008 Se
0.500 0.500 0.250 Co
```

Calculated values
- formation energy (no corrections) (kcal/mol of atoms) = 17.48
- calculated volume (A^3/atom) = 16.542
- final energy (eV for the cell shown) = -23.5
- ΔE to the lowest computed polymorph (meV/atom) = 844

VASP calculation (PBE) on a relaxed Y4Tl2Ru crystal.

Cell and atoms, written as POSCAR:
```
Y4Tl2Ru
1.0
5.328 0.000 0.000
0.000 5.328 0.000
2.664 2.664 7.639
Tl Y Ru
2 4 1
Direct
0.624 0.624 0.752 Tl
0.376 0.376 0.248 Tl
0.000 0.500 0.000 Y
0.176 0.176 0.648 Y
0.500 0.000 0.000 Y
0.824 0.824 0.352 Y
0.000 0.000 0.000 Ru
```

Calculated values
- calculated volume (A^3/atom) = 30.980
- final energy (eV for the cell shown) = -40.9
- ΔE to the lowest computed polymorph (meV/atom) = 190

VASP calculation (PBE) on a relaxed CeCoGe crystal.

Cell and atoms, written as POSCAR:
```
CeCoGe
1.0
-1.598 2.973 1.435
-0.137 -1.892 3.768
3.355 2.321 -1.073
Ce Co Ge
1 1 1
Direct
0.667 0.333 0.667 Ce
0.166 0.000 0.000 Co
0.167 0.667 0.333 Ge
```

Calculated values
- calculated volume (A^3/atom) = 18.843
- final energy (eV for the cell shown) = -19.4

VASP calculation (PBE) on a relaxed LaTmTh2 crystal.

Cell and atoms, written as POSCAR:
```
LaTmTh2
1.0
5.129 0.000 0.000
0.000 5.044 0.000
0.000 0.000 5.044
La Tm Th
1 1 2
Direct
0.500 0.000 0.000 La
0.500 0.500 0.500 Tm
0.000 0.500 0.000 Th
0.000 0.000 0.500 Th
```

Calculated values
- calculated volume (A^3/atom) = 32.625
- final energy (eV for the cell shown) = -24.0
- ΔE to the lowest computed polymorph (meV/atom) = 39

VASP calculation (PBE) on a relaxed Pm2ZnPt2 crystal.

Cell and atoms, written as POSCAR:
```
Pm2ZnPt2
1.0
-1.848 -3.056 2.705
2.924 -4.779 0.308
3.009 -1.006 4.628
Pt Zn Pm
2 1 2
Direct
0.000 0.759 0.741 Pt
0.000 0.241 0.259 Pt
0.500 0.500 0.000 Zn
0.697 0.803 0.303 Pm
0.303 0.197 0.697 Pm
```

Calculated values
- calculated volume (A^3/atom) = 21.952
- final energy (eV for the cell shown) = -27.7
- ΔE to the lowest computed polymorph (meV/atom) = 0

VASP calculation (PBE) on a relaxed BaTlAs2 crystal.

Cell and atoms, written as POSCAR:
```
BaTlAs2
1.0
-2.546 5.655 0.553
-4.934 2.119 3.153
-0.575 3.920 4.804
Tl As Ba
1 2 1
Direct
0.750 0.750 0.750 Tl
0.038 0.038 0.038 As
0.462 0.462 0.462 As
0.250 0.250 0.250 Ba
```

Calculated values
- calculated volume (A^3/atom) = 29.825
- final energy (eV for the cell shown) = -14.8
- ΔE to the lowest computed polymorph (meV/atom) = 198

VASP calculation (PBE) on a relaxed LaMg2Ru crystal.

Cell and atoms, written as POSCAR:
```
LaMg2Ru
1.0
-1.535 2.341 5.564
5.537 -2.417 -1.516
2.138 2.557 0.417
Ru Mg La
1 2 1
Direct
0.500 0.000 0.500 Ru
0.500 0.500 0.000 Mg
0.000 0.000 0.000 Mg
0.000 0.500 0.500 La
```

Calculated values
- calculated volume (A^3/atom) = 22.530
- final energy (eV for the cell shown) = -16.7

VASP calculation (PBE) on a relaxed ZnTcI2 crystal.

Cell and atoms, written as POSCAR:
```
ZnTcI2
1.0
0.282 -3.780 3.215
-3.428 -3.599 -0.088
1.209 -4.545 -1.608
I Tc Zn
2 1 1
Direct
0.750 0.750 0.750 I
0.250 0.250 0.250 I
0.500 0.500 0.500 Tc
0.000 0.000 0.000 Zn
```

Calculated values
- formation energy (no corrections) (kcal/mol of atoms) = 19.92
- calculated volume (A^3/atom) = 21.711
- final energy (eV for the cell shown) = -11.3
- ΔE to the lowest computed polymorph (meV/atom) = 227

VASP calculation (PBE) on a relaxed ScAlPb2 crystal.

Cell and atoms, written as POSCAR:
```
ScAlPb2
1.0
5.734 0.034 -0.064
2.098 5.336 0.064
-3.851 -2.779 3.213
Sc Pb Al
1 2 1
Direct
0.750 0.250 0.500 Sc
0.501 0.501 0.000 Pb
0.999 0.999 0.000 Pb
0.250 0.750 0.500 Al
```

Calculated values
- calculated volume (A^3/atom) = 24.537
- final energy (eV for the cell shown) = -17.8

| no. | density (g/cm3) |
| --- | --- |
| 1 | 8.1 |
| 2 | 5.2 |
| 3 | 6.2 |
| 4 | 10.1 |
| 5 | 6.6 |
| 6 | 8.0 |
| 7 | 9.8 |
| 8 | 11.3 |
| 9 | 6.8 |
| 10 | 5.3 |
| 11 | 8.0 |
| 12 | 8.2 |